First-principles (PBE-GGA) data for ZnRe5 after structural relaxation, as listed in Alexandria.

a b c (Å): 2.950 4.401 7.182
angles (deg): 107.84 90.00 90.00
Element x y z (fractional)
Re (0.000, 0.680, 0.360)
Re (0.000, 0.320, 0.640)
Re (0.500, 0.500, 0.000)
Re (0.500, 0.154, 0.307)
Re (0.500, 0.846, 0.693)
Zn (0.000, 0.000, 0.000)

Output
SG: Cmmm
ΔH_f (0 K): 285 meV per atom